# 1
DFT (PBE) results for a relaxed structure of Na3Ce2AuS6.

The value obtained for the energy relative to the elements, uncorrected is -30.32 kcal/mol of atoms. The size of the total moment comes out at 0.00 μB per formula unit.

The space group is C2/m (No. 12) and the conventional cell measures 6.903, 11.970 and 7.063 Å, with angles of 90.00, 108.83 and 90.00 degrees. The asymmetric unit holds Na at (0.000, 0.000, 0.000), Na at (0.000, 0.340, 0.000), Ce at (0.000, 0.167, 0.500), Au at (0.000, 0.500, 0.500), S at (0.234, 0.000, 0.730) and S at (0.250, 0.172, 0.268).

# 2
DFT (PBE) results for a relaxed structure of Na3Ce3AuS8.

The value obtained for the energy relative to the elements, uncorrected is -31.58 kcal/mol of atoms. The size of the total moment comes out at 0.86 μB per formula unit.

The space group is C2/m (No. 12) and the conventional cell measures 13.647, 8.229 and 8.063 Å, with angles of 90.00, 124.65 and 90.00 degrees. The asymmetric unit holds Na at (0.000, 0.000, 0.000), Na at (0.250, 0.250, 0.000), Ce at (0.000, 0.500, 0.500), Ce at (0.250, 0.250, 0.500), Au at (0.000, 0.000, 0.500), S at (0.011, 0.275, 0.263), S at (0.218, 0.000, 0.703) and S at (0.248, 0.500, 0.734).

# 3
DFT (PBE) results for a relaxed structure of NaCeSbAu.

The value obtained for the energy relative to the elements, uncorrected is -14.58 kcal/mol of atoms. The size of the total moment comes out at 1.01 μB per formula unit.

The space group is F-43m (No. 216) and the conventional cell measures 7.447, 7.447 and 7.447 Å, with angles of 90.00, 90.00 and 90.00 degrees. The asymmetric unit holds Na at (0.000, 0.000, 0.000), Ce at (0.000, 0.000, 0.500), Sb at (0.250, 0.250, 0.750) and Au at (0.250, 0.250, 0.250).

# 4
DFT (PBE) results for a relaxed structure of Na2CeAu2Se4.

The value obtained for the energy relative to the elements, uncorrected is -21.52 kcal/mol of atoms. The size of the total moment comes out at 0.21 μB per formula unit.

The space group is C2/m (No. 12) and the conventional cell measures 15.001, 4.164 and 7.660 Å, with angles of 90.00, 112.84 and 90.00 degrees. The asymmetric unit holds Na at (0.129, 0.000, 0.080), Ce at (0.000, 0.000, 0.500), Au at (0.185, 0.500, 0.527), Se at (0.014, 0.500, 0.244) and Se at (0.207, 0.000, 0.748).

# 5
DFT (PBE) results for a relaxed structure of NaCeAuSe3.

The value obtained for the energy relative to the elements, uncorrected is -25.79 kcal/mol of atoms. The size of the total moment comes out at 0.23 μB per formula unit.

The space group is P2_1/m (No. 11) and the conventional cell measures 8.333, 4.188 and 9.403 Å, with angles of 90.00, 103.79 and 90.00 degrees. The asymmetric unit holds Na at (0.193, 0.250, 0.224), Ce at (0.318, 0.750, 0.829), Au at (0.116, 0.250, 0.555), Se at (0.089, 0.250, 0.846), Se at (0.281, 0.750, 0.518) and Se at (0.433, 0.750, 0.149).

# 6
DFT (PBE) results for a relaxed structure of Na3Ce3AuSe8.

The value obtained for the energy relative to the elements, uncorrected is -29.49 kcal/mol of atoms. The size of the total moment comes out at 1.02 μB per formula unit.

The space group is C2/m (No. 12) and the conventional cell measures 14.204, 8.486 and 8.429 Å, with angles of 90.00, 124.19 and 90.00 degrees. The asymmetric unit holds Na at (0.000, 0.000, 0.000), Na at (0.250, 0.250, 0.000), Ce at (0.000, 0.500, 0.500), Ce at (0.250, 0.250, 0.500), Au at (0.000, 0.000, 0.500), Se at (0.009, 0.268, 0.261), Se at (0.220, 0.000, 0.710) and Se at (0.248, 0.500, 0.738).